# Sr2TcAg | Alexandria via LeMat-Bulk | PBE-GGA | optimized geometry
data_Sr2TcAg
_chemical_formula_sum 'Sr2 Tc1 Ag1'
_space_group_name_H-M_alt 'P 4 m m'
_space_group_IT_number 99
_cell_length_a 3.6704
_cell_length_b 3.6704
_cell_length_c 8.9668
_cell_angle_alpha 90.00
_cell_angle_beta 90.00
_cell_angle_gamma 90.00
loop_
_space_group_symop_operation_xyz
'x,y,z'
'-y,x,z'
'-x,-y,z'
'y,-x,z'
'-x,y,z'
'y,x,z'
'x,-y,z'
'-y,-x,z'
loop_
_atom_site_label
_atom_site_fract_x
_atom_site_fract_y
_atom_site_fract_z
Sr1 0.0000 0.0000 0.0000
Sr2 0.5000 0.5000 0.4098
Tc1 0.0000 0.0000 0.6410
Ag1 0.5000 0.5000 0.7697
# **Formation enthalpy at 0 K**: 551 meV/atom
# **Total magnetic moment**: 1.9 μB per formula unit
# **Distance to the lowest polymorph of the same formula**: 103 meV per atom